PBE-GGA AlRuCl, relaxed; DFT total energy = -14.18 eV per formula unit; SG = P-6m2, No. 187; formation energy from raw total energies = 229 meV/atom
1.0
4.208 0.000 0.000
-2.104 3.644 0.000
0.000 0.000 3.012
Al Ru Cl
1 1 1
direct
0.000 0.000 0.000 Al
0.333 0.667 0.500 Ru
0.667 0.333 0.500 Cl

PBE-GGA CaDyIn2Te4, relaxed; DFT total energy = -31.98 eV per formula unit; SG = P2/m, No. 10; formation energy from raw total energies = -917 meV/atom
1.0
7.791 0.000 0.000
0.000 4.441 0.000
-2.542 0.000 7.696
Ca Dy In Te
1 1 2 4
direct
0.000 0.000 0.000 Ca
0.500 0.500 0.000 Dy
0.000 0.500 0.500 In
0.500 0.000 0.500 In
0.258 0.500 0.237 Te
0.267 0.000 0.769 Te
0.733 0.000 0.231 Te
0.742 0.500 0.763 Te

PBE-GGA K2Na4HgBi2, relaxed; energy of formation from the pure elements = -234.8 meV per atom; DFT total energy = -17.65 eV per formula unit; SG = C2/m, No. 12
1.0
7.682 -4.028 0.000
7.682 4.028 0.000
-1.689 0.000 5.327
K Na Hg Bi
2 4 1 2
direct
0.136 0.136 0.158 K
0.864 0.864 0.842 K
0.155 0.574 0.345 Na
0.426 0.845 0.655 Na
0.574 0.155 0.345 Na
0.845 0.426 0.655 Na
0.500 0.500 0.000 Hg
0.304 0.304 0.793 Bi
0.696 0.696 0.207 Bi

PBE-GGA Zn2WSe, relaxed; DFT total energy = -16.72 eV per formula unit; SG = P4/mmm, No. 123; formation energy from raw total energies = 567 meV/atom
1.0
4.453 0.000 0.000
0.000 4.453 0.000
0.000 0.000 3.279
Zn W Se
2 1 1
direct
0.000 0.500 0.000 Zn
0.500 0.000 0.000 Zn
0.000 0.000 0.500 W
0.500 0.500 0.500 Se

PBE-GGA Pm2Nd2Dy2Y, relaxed; energy of formation from the pure elements = 128.5 meV per atom; DFT total energy = -33.81 eV per formula unit; SG = R-3m, No. 166
1.0
2.876 1.660 8.247
-2.876 1.660 8.247
0.000 -3.321 8.247
Pm Nd Dy Y
2 2 2 1
direct
0.217 0.217 0.217 Pm
0.783 0.783 0.783 Pm
0.361 0.361 0.361 Nd
0.639 0.639 0.639 Nd
0.072 0.072 0.072 Dy
0.928 0.928 0.928 Dy
0.500 0.500 0.500 Y

PBE-GGA Pr2Sm7Th2, relaxed; energy of formation from the pure elements = 183.2 meV per atom; DFT total energy = -55.42 eV per formula unit; SG = C2/m, No. 12
1.0
5.803 -5.819 0.000
5.803 5.819 0.000
-2.343 0.000 5.618
Pr Sm Th
2 7 2
direct
0.226 0.226 0.096 Pr
0.774 0.774 0.904 Pr
0.000 0.000 0.500 Sm
0.054 0.593 0.332 Sm
0.407 0.946 0.668 Sm
0.421 0.421 0.701 Sm
0.579 0.579 0.299 Sm
0.593 0.054 0.332 Sm
0.946 0.407 0.668 Sm
0.218 0.782 0.000 Th
0.782 0.218 0.000 Th

PBE-GGA TlOs3, relaxed; energy of formation from the pure elements = 1073.9 meV per atom; DFT total energy = -31.76 eV per formula unit; SG = I4/mmm, No. 139
1.0
-2.001 2.001 8.039
2.001 -2.001 8.039
2.001 2.001 -8.039
Tl Os
2 6
direct
0.123 0.123 0.000 Tl
0.877 0.877 0.000 Tl
0.000 0.500 0.500 Os
0.250 0.750 0.500 Os
0.371 0.371 0.000 Os
0.500 0.000 0.500 Os
0.629 0.629 0.000 Os
0.750 0.250 0.500 Os

PBE-GGA Tb2Zn5Ga, relaxed; energy of formation from the pure elements = -401.4 meV per atom; DFT total energy = -21.87 eV per formula unit; SG = Cmcm, No. 63
1.0
2.171 -7.980 0.000
2.171 7.980 0.000
0.000 0.000 8.809
Tb Zn Ga
4 10 2
direct
0.000 0.000 0.000 Tb
0.000 0.000 0.500 Tb
0.200 0.800 0.750 Tb
0.800 0.200 0.250 Tb
0.188 0.812 0.107 Zn
0.188 0.812 0.393 Zn
0.351 0.649 0.023 Zn
0.351 0.649 0.477 Zn
0.400 0.600 0.750 Zn
0.600 0.400 0.250 Zn
0.649 0.351 0.523 Zn
0.649 0.351 0.977 Zn
0.812 0.188 0.607 Zn
0.812 0.188 0.893 Zn
0.446 0.554 0.250 Ga
0.554 0.446 0.750 Ga

PBE-GGA BeCoRe3, relaxed; energy of formation from the pure elements = 1868.2 meV per atom; DFT total energy = -38.84 eV per formula unit; SG = Pm-3m, No. 221
1.0
4.378 0.000 0.000
0.000 4.378 0.000
0.000 0.000 4.378
Be Co Re
1 1 3
direct
0.000 0.000 0.000 Be
0.500 0.500 0.500 Co
0.000 0.500 0.500 Re
0.500 0.000 0.500 Re
0.500 0.500 0.000 Re

PBE-GGA Tb4NdSm15, relaxed; energy of formation from the pure elements = 16.0 meV per atom; DFT total energy = -93.76 eV per formula unit; SG = P4/mmm, No. 123
1.0
5.118 0.000 0.000
0.000 5.118 0.000
0.000 0.000 25.567
Tb Nd Sm
4 1 15
direct
0.000 0.000 0.100 Tb
0.000 0.000 0.299 Tb
0.000 0.000 0.701 Tb
0.000 0.000 0.900 Tb
0.000 0.000 0.500 Nd
0.000 0.500 0.000 Sm
0.000 0.500 0.199 Sm
0.000 0.500 0.399 Sm
0.000 0.500 0.601 Sm
0.000 0.500 0.801 Sm
0.500 0.000 0.000 Sm
0.500 0.000 0.199 Sm
0.500 0.000 0.399 Sm
0.500 0.000 0.601 Sm
0.500 0.000 0.801 Sm
0.500 0.500 0.100 Sm
0.500 0.500 0.299 Sm
0.500 0.500 0.500 Sm
0.500 0.500 0.701 Sm
0.500 0.500 0.900 Sm

PBE-GGA Dy4RuI5, relaxed; DFT total energy = -45.95 eV per formula unit; SG = C2/m, No. 12; formation energy from raw total energies = -1052 meV/atom
1.0
9.703 -2.056 0.000
9.703 2.056 0.000
-2.022 0.000 8.814
Dy Ru I
4 1 5
direct
0.000 0.000 0.204 Dy
0.000 0.000 0.796 Dy
0.361 0.361 0.929 Dy
0.639 0.639 0.071 Dy
0.500 0.500 0.000 Ru
0.168 0.168 0.339 I
0.176 0.176 0.834 I
0.500 0.500 0.500 I
0.824 0.824 0.166 I
0.832 0.832 0.661 I

PBE-GGA Li2TlGa, relaxed; energy of formation from the pure elements = -18.5 meV per atom; DFT total energy = -9.29 eV per formula unit; SG = I-42d, No. 122
1.0
-2.098 2.098 9.814
2.098 -2.098 9.814
2.098 2.098 -9.814
Li Tl Ga
4 2 2
direct
0.106 0.625 0.981 Li
0.375 0.356 0.481 Li
0.644 0.125 0.019 Li
0.875 0.894 0.519 Li
0.250 0.750 0.500 Tl
0.500 0.500 0.000 Tl
0.000 0.000 0.000 Ga
0.750 0.250 0.500 Ga

Which value of DFT total energy does entry 4 give?
-16.72 eV per formula unit

DFT total energy of number 12 (Li2TlGa)?
-9.29 eV per formula unit